A plane-wave DFT calculation with PBE was carried out for an optimized crystal structure of Ac8AsPt3S4. Values from VASP.

Properties
Magnetization ... 0.00 μB/f.u.
Calculated total energy ... -6.07 eV/atom
Formation energy without anion corrections ... -1.562 eV/atom
N(E_F) ... 0.8850 states/eV/atom

Cell and atoms, written as Quantum ESPRESSO input:
```
&SYSTEM
  ibrav = 0, nat = 16, ntyp = 4
/
ATOMIC_SPECIES
Ac 227.00 Ac.upf
As 74.92 As.upf
Pt 195.08 Pt.upf
S 32.06 S.upf
CELL_PARAMETERS angstrom
4.359 2.517 7.439
-4.359 2.517 7.439
0.000 -5.034 7.439
ATOMIC_POSITIONS crystal
Ac 0.243 0.751 0.751
Ac 0.246 0.246 0.246
Ac 0.249 0.249 0.757
Ac 0.249 0.757 0.249
Ac 0.751 0.243 0.751
Ac 0.751 0.751 0.243
Ac 0.754 0.754 0.754
Ac 0.757 0.249 0.249
As 0.500 0.500 0.500
Pt 0.000 0.000 0.500
Pt 0.000 0.500 0.000
Pt 0.500 0.000 0.000
S 0.000 0.000 0.000
S 0.000 0.500 0.500
S 0.500 0.000 0.500
S 0.500 0.500 0.000
```